[1]
# Ba2TcIr, relaxed, DFT PBE-GGA
# Total magnetic moment, μB per atom: 0.900
# Electronic total energy, eV/atom: -4.81
data_Ba2TcIr
_symmetry_space_group_name_H-M 'P 1'
_symmetry_Int_Tables_number 1
_cell_length_a 5.2144
_cell_length_b 5.2144
_cell_length_c 5.2144
_cell_angle_alpha 60.00
_cell_angle_beta 60.00
_cell_angle_gamma 60.00
loop_
_symmetry_equiv_pos_as_xyz
'x,y,z'
loop_
_atom_site_label
_atom_site_type_symbol
_atom_site_fract_x
_atom_site_fract_y
_atom_site_fract_z
Ba1 Ba 0.0000 0.0000 0.0000
Ba2 Ba 0.2500 0.2500 0.2500
Tc1 Tc 0.5000 0.5000 0.5000
Ir1 Ir 0.7500 0.7500 0.7500

[2]
# Ba4TeIr3, relaxed, DFT PBE-GGA
# Total magnetic moment, μB per atom: 0.004
# Electronic total energy, eV/atom: -5.05
data_Ba4TeIr3
_symmetry_space_group_name_H-M 'P 1'
_symmetry_Int_Tables_number 1
_cell_length_a 6.0926
_cell_length_b 4.7217
_cell_length_c 9.0978
_cell_angle_alpha 90.00
_cell_angle_beta 90.41
_cell_angle_gamma 90.00
loop_
_symmetry_equiv_pos_as_xyz
'x,y,z'
loop_
_atom_site_label
_atom_site_type_symbol
_atom_site_fract_x
_atom_site_fract_y
_atom_site_fract_z
Ba1 Ba 0.0000 0.0000 0.0000
Ba2 Ba 0.1649 0.5000 0.6314
Ba3 Ba 0.4828 0.5000 0.1443
Ba4 Ba 0.6546 0.0000 0.4847
Te1 Te 0.6601 0.5000 0.7938
Ir1 Ir 0.0138 0.5000 0.3006
Ir2 Ir 0.1248 0.0000 0.3381
Ir3 Ir 0.4892 0.0000 0.8422

[3]
# BaTe2Ir, relaxed, DFT PBE-GGA
# Total magnetic moment, μB per atom: 0.003
# Electronic total energy, eV/atom: -4.00
data_BaTe2Ir
_symmetry_space_group_name_H-M 'P 1'
_symmetry_Int_Tables_number 1
_cell_length_a 5.3791
_cell_length_b 5.3791
_cell_length_c 5.3791
_cell_angle_alpha 60.00
_cell_angle_beta 60.00
_cell_angle_gamma 60.00
loop_
_symmetry_equiv_pos_as_xyz
'x,y,z'
loop_
_atom_site_label
_atom_site_type_symbol
_atom_site_fract_x
_atom_site_fract_y
_atom_site_fract_z
Ba1 Ba 0.0000 0.0000 0.0000
Te1 Te 0.5000 0.5000 0.5000
Te2 Te 0.7500 0.7500 0.7500
Ir1 Ir 0.2500 0.2500 0.2500

[4]
# BaTe4Ir2, relaxed, DFT PBE-GGA
# Total magnetic moment, μB per atom: 0.001
# Electronic total energy, eV/atom: -5.01
data_BaTe4Ir2
_symmetry_space_group_name_H-M 'P 1'
_symmetry_Int_Tables_number 1
_cell_length_a 6.9181
_cell_length_b 6.9181
_cell_length_c 12.5416
_cell_angle_alpha 90.00
_cell_angle_beta 90.00
_cell_angle_gamma 130.52
loop_
_symmetry_equiv_pos_as_xyz
'x,y,z'
loop_
_atom_site_label
_atom_site_type_symbol
_atom_site_fract_x
_atom_site_fract_y
_atom_site_fract_z
Ba1 Ba 0.0000 0.0000 0.2500
Ba2 Ba 0.0000 0.0000 0.7500
Te1 Te 0.0000 0.5000 0.3291
Te2 Te 0.0000 0.5000 0.6709
Te3 Te 0.1822 0.3411 0.0000
Te4 Te 0.3411 0.1822 0.5000
Te5 Te 0.5000 0.0000 0.1709
Te6 Te 0.5000 0.0000 0.8291
Te7 Te 0.6589 0.8178 0.5000
Te8 Te 0.8178 0.6589 0.0000
Ir1 Ir 0.2468 0.7534 0.0000
Ir2 Ir 0.2466 0.7532 0.5000
Ir3 Ir 0.7532 0.2466 0.0000
Ir4 Ir 0.7534 0.2468 0.5000